1.
## SmLuSn2 (PBE-GGA)

Data for a relaxed structure of SmLuSn2.

Computed properties:
For the calculated density, the calculation gives 8843 kg/m3. Its total energy is -4.906 eV per atom. Its space-group type is No. 123. The value obtained for the formation enthalpy at 0 K is -0.595 eV per atom.

Cell lengths 4.4627, 4.8662, 4.8662 Å; angles 90.00, 90.00, 90.00 degrees
Atoms (fractional coordinates):
Lu1 0.5000 0.5000 0.5000
Sn1 0.0000 0.0000 0.5000
Sn2 0.0000 0.5000 0.0000
Sm1 0.5000 0.0000 0.0000

=====

2.
## LuAl4Ge (PBE-GGA)

Data for a relaxed structure of LuAl4Ge.

Computed properties:
For the calculated density, the calculation gives 5210 kg/m3. Its total energy is -4.146 eV per atom. Its space-group type is No. 216. The value obtained for the formation enthalpy at 0 K is -0.128 eV per atom.

Cell lengths 5.4316, 5.4316, 5.4316 Å; angles 60.00, 60.00, 60.00 degrees
Atoms (fractional coordinates):
Ge1 0.0000 0.0000 0.0000
Lu1 0.2500 0.2500 0.2500
Al1 0.6249 0.6249 0.1253
Al2 0.6249 0.1253 0.6249
Al3 0.6249 0.6249 0.6249
Al4 0.1253 0.6249 0.6249

=====

3.
## NbGaIr3 (PBE-GGA)

Data for a relaxed structure of NbGaIr3.

Computed properties:
For the calculated density, the calculation gives 13576 kg/m3. Its total energy is -6.942 eV per atom. Its space-group type is No. 221. The value obtained for the formation enthalpy at 0 K is 0.994 eV per atom. Its energy relative to the lowest polymorph listed for this composition is 0.00 kcal/mol of atoms.

Cell lengths 4.4885, 4.4885, 4.4885 Å; angles 90.00, 90.00, 90.00 degrees
Atoms (fractional coordinates):
Nb1 0.5000 0.5000 0.5000
Ir1 0.0000 0.5000 0.0000
Ir2 0.0000 0.0000 0.5000
Ir3 0.5000 0.0000 0.0000
Ga1 0.0000 0.0000 0.0000

=====

4.
## BaAg2Sb2 (PBE-GGA)

Data for a relaxed structure of BaAg2Sb2.

Computed properties:
For the calculated density, the calculation gives 6975 kg/m3. Its total energy is -3.547 eV per atom. The calculation puts the formation energy (no corrections) at -373 meV per atom. Its space-group type is No. 139.

Cell lengths 5.0430, 5.0430, 6.6263 Å; angles 67.63, 67.63, 90.00 degrees
Atoms (fractional coordinates):
Sb1 0.7500 0.2500 0.5000
Sb2 0.2500 0.7500 0.5000
Ba1 0.0000 0.0000 0.0000
Ag1 0.3746 0.3746 0.2508
Ag2 0.6254 0.6254 0.7492

=====

5.
## LiDy4Pd5 (PBE-GGA)

Data for a relaxed structure of LiDy4Pd5.

Computed properties:
For the calculated density, the calculation gives 9820 kg/m3. Its total energy is -5.446 eV per atom. Its space-group type is No. 123. The value obtained for the formation enthalpy at 0 K is -0.818 eV per atom.

Cell lengths 3.4600, 3.4600, 16.7946 Å; angles 90.00, 90.00, 90.00 degrees
Atoms (fractional coordinates):
Li1 0.0000 0.0000 0.0000
Dy1 0.0000 0.0000 0.1801
Dy2 0.0000 0.0000 0.3935
Dy3 0.0000 0.0000 0.6065
Dy4 0.0000 0.0000 0.8199
Pd1 0.5000 0.5000 0.0841
Pd2 0.5000 0.5000 0.2871
Pd3 0.5000 0.5000 0.5000
Pd4 0.5000 0.5000 0.7129
Pd5 0.5000 0.5000 0.9159

=====

6.
## Na2HfAuSe (PBE-GGA)

Data for a relaxed structure of Na2HfAuSe.

Computed properties:
For the calculated density, the calculation gives 3994 kg/m3. Its total energy is -3.459 eV per atom. The calculation puts the formation energy (no corrections) at 411 meV per atom. Its space-group type is No. 123.

Cell lengths 6.4780, 4.9573, 6.4780 Å; angles 90.00, 90.00, 90.00 degrees
Atoms (fractional coordinates):
Hf1 0.0000 0.0000 0.0000
Au1 0.5000 0.5000 0.5000
Se1 0.0000 0.5000 0.0000
Na1 0.0000 0.0000 0.5000
Na2 0.5000 0.0000 0.0000